# 1
# GGA-PBE La2UP3, relaxed
# * distance to the lowest polymorph of the same formula: 0.000 eV per atom
# * total moment: 0.372 μB/atom
# * N(E_F): 1.29 states/eV/atom
# * crystal system: orthorhombic
data_La2UP3
_cell_length_a 4.126
_cell_length_b 5.868
_cell_length_c 12.559
_cell_angle_alpha 90.00
_cell_angle_beta 90.00
_cell_angle_gamma 90.00
_space_group_name_H-M_alt 'I m m m'
_space_group_IT_number 71
_space_group_name_Hall '-I 2 2'
loop_
_atom_site_label
_atom_site_fract_x
_atom_site_fract_y
_atom_site_fract_z
La1 0.000 0.000 0.168
U1 0.000 0.000 0.500
P1 0.000 0.500 0.152
P2 0.000 0.500 0.500

# 2
# GGA-PBE Rb3AsI8, relaxed
# * total moment: 0.000 μB/atom
# * ΔE_f (raw): -0.5322 eV/atom
# * N(E_F): 1.16 states/eV/atom
# * crystal system: tetragonal
data_Rb3AsI8
_cell_length_a 8.123
_cell_length_b 8.123
_cell_length_c 17.423
_cell_angle_alpha 90.00
_cell_angle_beta 90.00
_cell_angle_gamma 90.00
_space_group_name_H-M_alt 'I 4/m m m'
_space_group_IT_number 139
_space_group_name_Hall '-I 4 2'
loop_
_atom_site_label
_atom_site_fract_x
_atom_site_fract_y
_atom_site_fract_z
Rb1 0.000 0.000 0.000
Rb2 0.000 0.500 0.250
As1 0.000 0.000 0.500
I1 0.223 0.223 0.391

# 3
# GGA-PBE Tm3Hg3Au2, relaxed
# * distance to the lowest polymorph of the same formula: 0.077 eV per atom
# * total moment: 0.000 μB/atom
# * N(E_F): 0.62 states/eV/atom
# * crystal system: orthorhombic
data_Tm3Hg3Au2
_cell_length_a 4.948
_cell_length_b 5.126
_cell_length_c 7.246
_cell_angle_alpha 90.00
_cell_angle_beta 90.00
_cell_angle_gamma 90.00
_space_group_name_H-M_alt 'P m m m'
_space_group_IT_number 47
_space_group_name_Hall '-P 2 2'
loop_
_atom_site_label
_atom_site_fract_x
_atom_site_fract_y
_atom_site_fract_z
Tm1 0.000 0.000 0.000
Tm2 0.000 0.000 0.500
Tm3 0.500 0.500 0.000
Hg1 0.000 0.500 0.254
Hg2 0.500 0.500 0.500
Au1 0.500 0.000 0.231

# 4
# GGA-PBE Np2Cl4O5, relaxed
# * total moment: 0.000 μB/atom
# * ΔE_f (raw): -1.9296 eV/atom
# * crystal system: triclinic
data_Np2Cl4O5
_cell_length_a 6.382
_cell_length_b 6.816
_cell_length_c 7.735
_cell_angle_alpha 70.05
_cell_angle_beta 87.90
_cell_angle_gamma 87.55
_space_group_name_H-M_alt 'P -1'
_space_group_IT_number 2
_space_group_name_Hall '-P 1'
loop_
_atom_site_label
_atom_site_fract_x
_atom_site_fract_y
_atom_site_fract_z
Np1 0.096 0.417 0.270
Cl1 0.193 0.332 0.630
Cl2 0.375 0.173 0.216
O1 0.000 0.500 0.000
O2 0.087 0.785 0.653
O3 0.272 0.625 0.214

# 5
# GGA-PBE ThScMnAg, relaxed
# * total moment: 0.469 μB/atom
# * final energy: -6.38 eV per atom
# * N(E_F): 1.28 states/eV/atom
# * crystal system: cubic
data_ThScMnAg
_cell_length_a 7.059
_cell_length_b 7.059
_cell_length_c 7.059
_cell_angle_alpha 90.00
_cell_angle_beta 90.00
_cell_angle_gamma 90.00
_space_group_name_H-M_alt 'F -4 3 m'
_space_group_IT_number 216
_space_group_name_Hall 'F -4 2 3'
loop_
_atom_site_label
_atom_site_fract_x
_atom_site_fract_y
_atom_site_fract_z
Th1 0.000 0.000 0.000
Sc1 0.000 0.000 0.500
Mn1 0.250 0.250 0.250
Ag1 0.250 0.250 0.750

# 6
# GGA-PBE Be2SiNi5, relaxed
# * total moment: 0.000 μB/atom
# * ΔE_f (raw): -0.4322 eV/atom
# * N(E_F): 0.27 states/eV/atom
# * crystal system: orthorhombic
data_Be2SiNi5
_cell_length_a 4.760
_cell_length_b 9.276
_cell_length_c 3.643
_cell_angle_alpha 90.00
_cell_angle_beta 90.00
_cell_angle_gamma 90.00
_space_group_name_H-M_alt 'P b a m'
_space_group_IT_number 55
_space_group_name_Hall '-P 2 2ab'
loop_
_atom_site_label
_atom_site_fract_x
_atom_site_fract_y
_atom_site_fract_z
Be1 0.162 0.137 0.000
Si1 0.000 0.500 0.500
Ni1 0.000 0.000 0.500
Ni2 0.104 0.737 0.500
Ni3 0.185 0.387 0.000

Please write out number 3 again, unchanged.
# GGA-PBE Tm3Hg3Au2, relaxed
# * distance to the lowest polymorph of the same formula: 0.077 eV per atom
# * total moment: 0.000 μB/atom
# * N(E_F): 0.62 states/eV/atom
# * crystal system: orthorhombic
data_Tm3Hg3Au2
_cell_length_a 4.948
_cell_length_b 5.126
_cell_length_c 7.246
_cell_angle_alpha 90.00
_cell_angle_beta 90.00
_cell_angle_gamma 90.00
_space_group_name_H-M_alt 'P m m m'
_space_group_IT_number 47
_space_group_name_Hall '-P 2 2'
loop_
_atom_site_label
_atom_site_fract_x
_atom_site_fract_y
_atom_site_fract_z
Tm1 0.000 0.000 0.000
Tm2 0.000 0.000 0.500
Tm3 0.500 0.500 0.000
Hg1 0.000 0.500 0.254
Hg2 0.500 0.500 0.500
Au1 0.500 0.000 0.231

Repeat the third record exactly.
# GGA-PBE Tm3Hg3Au2, relaxed
# * distance to the lowest polymorph of the same formula: 0.077 eV per atom
# * total moment: 0.000 μB/atom
# * N(E_F): 0.62 states/eV/atom
# * crystal system: orthorhombic
data_Tm3Hg3Au2
_cell_length_a 4.948
_cell_length_b 5.126
_cell_length_c 7.246
_cell_angle_alpha 90.00
_cell_angle_beta 90.00
_cell_angle_gamma 90.00
_space_group_name_H-M_alt 'P m m m'
_space_group_IT_number 47
_space_group_name_Hall '-P 2 2'
loop_
_atom_site_label
_atom_site_fract_x
_atom_site_fract_y
_atom_site_fract_z
Tm1 0.000 0.000 0.000
Tm2 0.000 0.000 0.500
Tm3 0.500 0.500 0.000
Hg1 0.000 0.500 0.254
Hg2 0.500 0.500 0.500
Au1 0.500 0.000 0.231